No. 1
# Ga2FeTc | the Open Quantum Materials Database | PBE | optimized geometry
# * electronic total energy: -6.079 eV/atom
data_Ga2FeTc
_chemical_formula_sum 'Ga8 Fe4 Tc4'
_cell_length_a 6.0489
_cell_length_b 6.0489
_cell_length_c 6.0489
_cell_angle_alpha 90.00
_cell_angle_beta 90.00
_cell_angle_gamma 90.00
_symmetry_space_group_name_H-M 'F -4 3 m'
_symmetry_Int_Tables_number 216
_symmetry_space_group_name_Hall 'F -4 2 3'
loop_
_atom_site_label
_atom_site_fract_x
_atom_site_fract_y
_atom_site_fract_z
Ga1 0.0000 0.0000 0.0000
Ga2 0.2500 0.2500 0.2500
Fe1 0.0000 0.0000 0.5000
Tc1 0.2500 0.2500 0.7500


No. 2
# HfAlPd2 | the Open Quantum Materials Database | PBE | optimized geometry
# * electronic total energy: -6.700 eV/atom
data_HfAlPd2
_chemical_formula_sum 'Hf1 Al1 Pd2'
_cell_length_a 4.4635
_cell_length_b 4.4635
_cell_length_c 3.3357
_cell_angle_alpha 90.00
_cell_angle_beta 90.00
_cell_angle_gamma 90.00
_symmetry_space_group_name_H-M 'P 4/m m m'
_symmetry_Int_Tables_number 123
_symmetry_space_group_name_Hall '-P 4 2'
loop_
_atom_site_label
_atom_site_fract_x
_atom_site_fract_y
_atom_site_fract_z
Hf1 0.0000 0.0000 0.0000
Al1 0.5000 0.5000 0.0000
Pd1 0.0000 0.5000 0.5000


No. 3
# TaTcAu | the Open Quantum Materials Database | PBE | optimized geometry
# * electronic total energy: -7.968 eV/atom
# * excess energy over the best structure of this formula in the dataset: 0 meV/atom
# * energy of formation from the pure elements: 525 meV per atom
data_TaTcAu
_chemical_formula_sum 'Ta4 Tc4 Au4'
_cell_length_a 6.1499
_cell_length_b 6.1499
_cell_length_c 6.1499
_cell_angle_alpha 90.00
_cell_angle_beta 90.00
_cell_angle_gamma 90.00
_symmetry_space_group_name_H-M 'F -4 3 m'
_symmetry_Int_Tables_number 216
_symmetry_space_group_name_Hall 'F -4 2 3'
loop_
_atom_site_label
_atom_site_fract_x
_atom_site_fract_y
_atom_site_fract_z
Ta1 0.0000 0.0000 0.0000
Tc1 0.2500 0.2500 0.2500
Au1 0.2500 0.2500 0.7500